# AlIn2Cl | Alexandria via LeMat-Bulk | GGA-PBE | optimized geometry
data_AlIn2Cl
_chemical_formula_sum 'Al2 In4 Cl2'
_symmetry_space_group_name_H-M 'I -4 m 2'
_symmetry_Int_Tables_number 119
_symmetry_space_group_name_Hall 'I -4 -2'
_cell_length_a 4.345
_cell_length_b 4.345
_cell_length_c 11.078
_cell_angle_alpha 90.00
_cell_angle_beta 90.00
_cell_angle_gamma 90.00
loop_
_atom_site_label
_atom_site_type_symbol
_atom_site_fract_x
_atom_site_fract_y
_atom_site_fract_z
Al1 Al 0.000 0.000 0.000
In1 In 0.000 0.000 0.500
In2 In 0.000 0.500 0.250
Cl1 Cl 0.000 0.500 0.750
# size of the total moment = 0.00 μB/f.u.
# excess energy over the best structure of this formula in the dataset = 179.6 meV per atom